VASP calculation (PBE) on a geometry-optimized K2NpAsSe4 structure.

VASP energy (eV for the cell shown): -81.06
Magnetic moment (μB per formula unit): 3.8
Uncorrected formation energy (kJ/mol of formula units): -657
Fermi-level density of states (states/eV per cell): 16.60

The structure in POSCAR format:
```
K2NpAsSe4
1.0
8.6637 0.0249 -0.0565
0.0188 8.6633 -0.0562
-4.2862 -4.2888 6.1981
K Np As Se
4 2 2 8
Cartesian
4.3319 0.0124 -0.0282 K
2.1887 -2.1320 3.0708 K
6.5394 6.5439 2.9863 K
0.0551 0.0554 6.1417 K
4.3869 0.0678 6.1135 Np
6.5299 2.2122 3.0144 Np
2.1983 2.1998 3.0426 As
0.0000 -0.0001 0.0001 As
-2.4053 2.2716 5.9740 Se
4.3026 0.3392 3.2104 Se
0.0937 4.0603 2.8750 Se
6.8016 2.1280 0.1114 Se
2.5145 2.2869 5.8619 Se
4.3099 4.0832 3.2652 Se
0.0863 0.3161 2.8199 Se
1.8819 2.1126 0.2235 Se
```

VASP calculation (PBE) on a geometry-optimized K3Np3AsSe8 structure.

VASP energy (eV for the cell shown): -90.14
Magnetic moment (μB per formula unit): 3.7
Uncorrected formation energy (kJ/mol of formula units): -1496
Fermi-level density of states (states/eV per cell): 20.69

The structure in POSCAR format:
```
K3Np3AsSe8
1.0
-7.9451 2.1671 -1.7238
1.6066 -5.5697 6.0867
2.0435 8.7613 1.6720
K Np As Se
3 3 1 8
Cartesian
0.0000 0.0000 0.0000 K
0.8033 -2.7849 3.0434 K
-3.1693 -1.7013 2.1815 K
-2.9508 5.4642 -0.0259 Np
-2.1475 2.6793 3.0175 Np
1.8250 1.5958 3.8794 Np
1.0217 4.3806 0.8360 As
-0.6570 0.1969 3.2542 Se
-3.6380 5.1618 2.7807 Se
-4.6501 1.2993 2.5179 Se
0.3551 4.0593 3.5170 Se
-5.4822 4.1832 -0.6334 Se
1.1871 1.1755 6.6683 Se
-1.3643 3.0693 0.2659 Se
-2.9308 2.2894 5.7690 Se
```

Question: Among the records above, which one has the highest magnetic moment?
Answer: K2NpAsSe4

Question: magnetic moment of number 2 (K3Np3AsSe8)?
Answer: 3.7 μB per formula unit